1.
Below is a geometry-optimized RbMg2Hg3 structure, with properties calculated at the PBE level.

Cell: 12.1042 9.0633 6.4181 Å, 90.00 90.00 90.00°
Closest atoms and distances in Å follow each position.
Space group Cmcm (No. 63)
Asymmetric unit:
Rb  0.0000  0.1570  0.2500  11 Hg 3.78-4.17
Mg  0.1972  0.5000  0.0000  6 Hg 2.86-3.00
Hg  0.0000  0.4264  0.7500  4 Mg 2.95, 2 Hg 3.03
Hg  0.1970  0.2203  0.7500  4 Mg 2.86-3.00, 1 Hg 3.03

Results
- Energy relative to the elements: -0.2063 eV/atom
- Volume: 29.34 Å³/atom



2.
Below is a geometry-optimized RbMgHg2 structure, with properties calculated at the PBE level.

Cell: 5.7761 5.7761 3.7805 Å, 90.00 90.00 90.00°
Closest atoms and distances in Å follow each position.
Space group P4/mmm (No. 123)
Asymmetric unit:
Rb  0.0000  0.0000  0.0000  8 Hg 3.45, 2 Rb 3.78
Mg  0.5000  0.5000  0.0000  8 Hg 3.45, 2 Mg 3.78
Hg  0.0000  0.5000  0.5000  4 Mg 3.45, 4 Rb 3.45, 2 Hg 3.78

Results
- Energy relative to the elements: -0.0311 eV/atom
- Volume: 31.53 Å³/atom



3.
Below is a geometry-optimized Rb2MgHg structure, with properties calculated at the PBE level.

Cell: 6.4669 6.4669 4.5338 Å, 90.00 90.00 90.00°
Closest atoms and distances in Å follow each position.
Space group P4/mmm (No. 123)
Asymmetric unit:
Rb  0.0000  0.5000  0.0000  4 Hg 3.95, 4 Mg 3.95
Mg  0.0000  0.0000  0.5000  8 Rb 3.95
Hg  0.5000  0.5000  0.5000  8 Rb 3.95

Results
- Energy relative to the lowest polymorph listed for this composition: 0.000 eV per atom
- Energy relative to the elements: 0.0682 eV/atom
- Volume: 47.40 Å³/atom



4.
Below is a geometry-optimized Rb3MgHg structure, with properties calculated at the PBE level.

Cell: 6.8958 6.8958 6.8958 Å, 90.00 90.00 90.00°
Closest atoms and distances in Å follow each position.
Space group Pm-3m (No. 221)
Asymmetric unit:
Rb  0.0000  0.0000  0.5000  2 Hg 3.45
Mg  0.5000  0.5000  0.5000  12 Rb 4.88
Hg  0.0000  0.0000  0.0000  6 Rb 3.45

Results
- Energy relative to the lowest polymorph listed for this composition: 0.000 eV per atom
- Energy relative to the elements: 0.1492 eV/atom
- Volume: 65.58 Å³/atom



energy relative to the elements of number 2 (RbMgHg2)? -0.0311 eV/atom